# 1
The following is a DFT calculation (GGA-PBE) of a relaxed structure of Nd2Cu5Ni5.

```
12
Lattice="3.980 0.000 0.000 0.000 5.070 0.000 0.000 0.000 8.755" Properties=species:S:1:pos:R:3 pbc="T T T"
Nd 0.000 0.000 0.000
Nd 0.000 2.535 4.378
Cu 0.000 0.000 2.889
Cu 0.000 0.000 5.866
Cu 0.000 2.535 1.464
Cu 0.000 2.535 7.291
Cu 1.990 0.000 4.378
Ni 1.990 1.271 2.175
Ni 1.990 1.271 6.580
Ni 1.990 2.535 0.000
Ni 1.990 3.799 2.175
Ni 1.990 3.799 6.580
```

Summary:
N(E_F) ... 0.672 states/eV/atom
Electronic total energy ... -5.155 eV/atom
Symmetry ... Pmmm, No. 47


# 2
The following is a DFT calculation (GGA-PBE) of a relaxed structure of Ce8HgIr2.

```
11
Lattice="4.164 -6.579 0.000 4.164 6.579 0.000 -1.485 0.000 5.310" Properties=species:S:1:pos:R:3 pbc="T T T"
Ce -0.531 0.000 4.355
Ce 1.825 1.396 2.313
Ce 4.164 3.284 0.000
Ce 1.825 -1.396 2.313
Ce 5.017 1.396 2.997
Ce 4.164 -3.284 0.000
Ce 5.017 -1.396 2.997
Ce 7.373 0.000 0.955
Hg 4.164 0.000 0.000
Ir 3.421 3.825 2.655
Ir 3.421 -3.825 2.655
```

Summary:
N(E_F) ... 2.732 states/eV/atom
Electronic total energy ... -6.246 eV/atom
Symmetry ... C2/m, No. 12


# 3
The following is a DFT calculation (GGA-PBE) of a relaxed structure of Sc5Co.

```
6
Lattice="5.601 0.000 0.000 -2.801 4.851 0.000 0.000 0.000 5.362" Properties=species:S:1:pos:R:3 pbc="T T T"
Sc -1.400 2.425 0.000
Sc 0.000 3.234 2.681
Sc 2.801 0.000 0.000
Sc 1.400 2.425 0.000
Sc 2.801 1.617 2.681
Co 0.000 0.000 2.681
```

Summary:
N(E_F) ... 1.351 states/eV/atom
Electronic total energy ... -5.709 eV/atom
Symmetry ... P6/mmm, No. 191


# 4
The following is a DFT calculation (GGA-PBE) of a relaxed structure of Mg6Hg2Rh.

```
9
Lattice="7.296 -3.345 0.000 7.296 3.345 0.000 -1.404 0.000 4.317" Properties=species:S:1:pos:R:3 pbc="T T T"
Mg 4.549 1.788 1.499
Mg 7.296 1.859 0.000
Mg 8.638 1.788 2.817
Mg 4.549 -1.788 1.499
Mg 7.296 -1.859 0.000
Mg 8.638 -1.788 2.817
Hg 3.692 0.000 3.607
Hg 9.495 0.000 0.709
Rh -0.702 0.000 2.158
```

Summary:
N(E_F) ... 0.460 states/eV/atom
Electronic total energy ... -2.122 eV/atom
Symmetry ... C2/m, No. 12